The following is a PBE calculation of AcTbTmAl after structural relaxation, from Alexandria via LeMat-Bulk.

For the raw total energy, the calculation gives -4.142 eV per atom. The value obtained for the formation energy is 96 meV/atom.

a = 5.4934 Å, b = 5.4934 Å, c = 5.4934 Å
α = 60.00°, β = 60.00°, γ = 60.00°
Fractional coordinates of all 4 atoms:
Ac 0.7500 0.7500 0.7500
Tm 0.5000 0.5000 0.5000
Tb 0.0000 0.0000 0.0000
Al 0.2500 0.2500 0.2500


The following is a PBE calculation of MnCo2Mo after structural relaxation, from Alexandria via LeMat-Bulk.

For the raw total energy, the calculation gives -8.464 eV per atom. The value obtained for the formation energy is 89 meV/atom.

a = 4.4343 Å, b = 4.4343 Å, c = 2.5958 Å
α = 90.00°, β = 90.00°, γ = 109.66°
Site moments in Bohr magnetons follow the coordinates.
Fractional coordinates of all 4 atoms:
Co 0.0000 0.0000 0.0000  -0.10
Co 0.5000 0.5000 0.0000  -0.10
Mn 0.5000 0.0000 0.5000  1.78
Mo 0.0000 0.5000 0.5000  -0.21